DFT (PBE) results for a geometry-optimized CaPa2NiN5 structure.

Values from the calculation:
Its magnetic moment is 1.91 μB per cell. As for the total energy: -155.095 eV/cell.

Structure (POSCAR):
```
CaPa2NiN5
1.0
-3.283 3.283 5.565
3.283 -3.283 5.565
3.283 3.283 -5.565
Ca Pa Ni N
2 4 2 10
direct
0.250 0.250 0.000
0.750 0.750 0.000
0.177 0.677 0.855
0.323 0.177 0.500
0.677 0.823 0.500
0.823 0.323 0.145
0.250 0.750 0.500
0.750 0.250 0.500
0.000 0.000 0.000
0.012 0.230 0.500
0.230 0.730 0.219
0.270 0.488 0.500
0.488 0.988 0.219
0.500 0.500 0.000
0.512 0.012 0.781
0.730 0.512 0.500
0.770 0.270 0.781
0.988 0.770 0.500
```